[1]
Density functional theory data (GGA-PBE) for a relaxed Er2Cr2GaRu5 crystal. Values from VASP.

Properties
Fermi-level density of states in states/eV/atom: 0.683
Space group: P4/mbm, No. 127
M_tot in μB/atom: 0.000
Formation energy in eV/atom: -0.129

Quantum ESPRESSO input file:
```
&SYSTEM
  ibrav = 0, nat = 20, ntyp = 4
/
ATOMIC_SPECIES
Er 167.26 Er.upf
Cr 52.00 Cr.upf
Ga 69.72 Ga.upf
Ru 101.07 Ru.upf
ATOMIC_POSITIONS angstrom
Er 0.0000 6.7998 1.7441
Er 0.0000 3.3116 8.3673
Er 0.0000 1.7441 3.3116
Er 0.0000 8.3673 6.7998
Cr 0.0000 1.3371 6.3928
Cr 0.0000 8.7743 3.7186
Cr 0.0000 6.3928 8.7743
Cr 0.0000 3.7186 1.3371
Ga 0.0000 0.0000 0.0000
Ga 0.0000 5.0557 5.0557
Ru 1.5807 2.0481 0.6416
Ru 1.5807 8.0632 9.4698
Ru 1.5807 0.6416 8.0632
Ru 1.5807 7.1038 4.4141
Ru 1.5807 9.4698 2.0481
Ru 1.5807 3.0075 5.6973
Ru 1.5807 5.6973 7.1038
Ru 1.5807 4.4141 3.0075
Ru 1.5807 5.0557 0.0000
Ru 1.5807 0.0000 5.0557
CELL_PARAMETERS angstrom
3.1614 0.0000 0.0000
0.0000 10.1114 0.0000
0.0000 0.0000 10.1114
```

[2]
Density functional theory data (GGA-PBE) for a relaxed LiGdErCr crystal. Values from VASP.

Properties
Fermi-level density of states in states/eV/atom: 0.691
Space group: F-43m, No. 216
M_tot in μB/atom: 2.556
Formation energy in eV/atom: 0.197

Quantum ESPRESSO input file:
```
&SYSTEM
  ibrav = 0, nat = 4, ntyp = 4
/
ATOMIC_SPECIES
Cr 52.00 Cr.upf
Gd 157.25 Gd.upf
Li 6.94 Li.upf
Er 167.26 Er.upf
ATOMIC_POSITIONS angstrom
Cr 0.0000 0.0000 0.0000
Gd 7.6083 4.3926 3.1061
Li 5.0722 2.9284 2.0707
Er 2.5361 1.4642 1.0354
CELL_PARAMETERS angstrom
5.0722 0.0000 0.0000
2.5361 4.3926 0.0000
2.5361 1.4642 4.1414
```

[3]
Density functional theory data (GGA-PBE) for a relaxed GdErMgCr crystal. Values from VASP.

Properties
Fermi-level density of states in states/eV/atom: 0.656
Space group: F-43m, No. 216
M_tot in μB/atom: 2.649
Formation energy in eV/atom: 0.159

Quantum ESPRESSO input file:
```
&SYSTEM
  ibrav = 0, nat = 4, ntyp = 4
/
ATOMIC_SPECIES
Cr 52.00 Cr.upf
Mg 24.30 Mg.upf
Gd 157.25 Gd.upf
Er 167.26 Er.upf
ATOMIC_POSITIONS angstrom
Cr 5.1885 2.9956 2.1182
Mg 0.0000 0.0000 0.0000
Gd 2.5942 1.4978 1.0591
Er 7.7827 4.4933 3.1773
CELL_PARAMETERS angstrom
5.1885 0.0000 0.0000
2.5942 4.4933 0.0000
2.5942 1.4978 4.2364
```

[4]
Density functional theory data (GGA-PBE) for a relaxed Er2CrGe4 crystal. Values from VASP.

Properties
Fermi-level density of states in states/eV/atom: 0.447
Space group: Amm2, No. 38
M_tot in μB/atom: 0.000
Formation energy in eV/atom: -0.453

Quantum ESPRESSO input file:
```
&SYSTEM
  ibrav = 0, nat = 7, ntyp = 3
/
ATOMIC_SPECIES
Er 167.26 Er.upf
Cr 52.00 Cr.upf
Ge 72.64 Ge.upf
ATOMIC_POSITIONS angstrom
Er -2.5518 2.1629 0.5382
Er -0.0840 1.5143 -2.1884
Cr -4.8847 1.0819 1.9913
Ge -6.7596 0.2131 3.1592
Ge 3.9429 3.3803 -4.6967
Ge 1.7636 4.1627 -2.1497
Ge -4.2811 -0.4306 0.4258
CELL_PARAMETERS angstrom
4.6766 3.7203 -5.1537
-7.3165 -1.8372 2.3165
-0.1118 3.5327 2.4487
```